# 1
Entry from the Alexandria database: a relaxed Cu2ReRu crystal (PBE).

Computed properties:
- Crystal system: cubic
- Calculated formation energy: 480 meV/atom
- D(E_F): 1.024 states/eV/atom
- Excess energy over the best structure of this formula in the dataset: 0.3472 eV/atom
- Electronic total energy: -111.99 eV/cell

abc: 5.9398 5.9398 5.9398
angles: 90.00 90.00 90.00
Space group Fm-3m (No. 225)
Symmetry-distinct sites (fractional):
Cu 0.2500 0.2500 0.2500 (multiplicity 8)
Re 0.0000 0.0000 0.0000 (multiplicity 4)
Ru 0.0000 0.0000 0.5000 (multiplicity 4)


# 2
Entry from the Alexandria database: a relaxed Sc3In2Pt3 crystal (PBE).

Computed properties:
- Crystal system: hexagonal
- Calculated formation energy: -907 meV/atom
- D(E_F): 0.635 states/eV/atom
- Electronic total energy: -99.70 eV/cell

abc: 8.1181 8.1181 5.6449
angles: 90.00 90.00 120.00
Space group P6_3/mcm (No. 193)
Symmetry-distinct sites (fractional):
Sc 0.0000 0.2737 0.2500 (multiplicity 6)
In 0.3333 0.6667 0.0000 (multiplicity 4)
Pt 0.0000 0.3739 0.7500 (multiplicity 6)


# 3
Entry from the Alexandria database: a relaxed Y6SnTe3S2 crystal (PBE).

Computed properties:
- Crystal system: monoclinic
- Formation energy (no corrections): -17.6 eV/f.u.
- D(E_F): 0.493 states/eV/atom
- Electronic total energy: -156.05 eV/cell

abc: 7.2532 12.5311 7.4937
angles: 90.00 108.81 90.00
Space group C2/m (No. 12)
Symmetry-distinct sites (fractional):
Y 0.2199 0.0000 0.2127 (multiplicity 4)
Y 0.2478 0.3247 0.2183 (multiplicity 8)
Sn 0.0000 0.5000 0.0000 (multiplicity 2)
Te 0.0000 0.0000 0.5000 (multiplicity 2)
Te 0.0000 0.3395 0.5000 (multiplicity 4)
S 0.0000 0.1678 0.0000 (multiplicity 4)


# 4
Entry from the Alexandria database: a relaxed In3BiAs crystal (PBE).

Computed properties:
- Crystal system: cubic
- Calculated formation energy: 235 meV/atom
- D(E_F): 0.542 states/eV/atom
- Excess energy over the best structure of this formula in the dataset: 0.0000 eV/atom
- Electronic total energy: -15.57 eV/cell

abc: 5.3939 5.3939 5.3939
angles: 90.00 90.00 90.00
Space group Pm-3m (No. 221)
Symmetry-distinct sites (fractional):
In 0.0000 0.0000 0.5000 (multiplicity 3)
Bi 0.5000 0.5000 0.5000 (multiplicity 1)
As 0.0000 0.0000 0.0000 (multiplicity 1)


For each record above, in turn, the calculated total moment values are 0.00; 0.00; 0.00; 0.00 μB/atom.